Computed, not measured: a geometry-optimized AcSmTlRu structure at the PBE level of DFT.

The structure in CIF format:
```
data_AcSmTlRu
_chemical_formula_sum 'Ac1 Sm1 Tl1 Ru1'
_symmetry_space_group_name_H-M 'P 1'
_symmetry_Int_Tables_number 1
_cell_length_a 5.3674
_cell_length_b 5.3674
_cell_length_c 5.3674
_cell_angle_alpha 60.00
_cell_angle_beta 60.00
_cell_angle_gamma 60.00
loop_
_symmetry_equiv_pos_as_xyz
'x,y,z'
loop_
_atom_site_label
_atom_site_fract_x
_atom_site_fract_y
_atom_site_fract_z
Ac1 0.0000 0.0000 0.0000
Sm1 0.5000 0.5000 0.5000
Tl1 0.7500 0.7500 0.7500
Ru1 0.2500 0.2500 0.2500
```

Symmetry: F-43m, No. 216
ΔH_f (0 K) in eV/atom: -0.070


Computed, not measured: a geometry-optimized Ce2YLu structure at the PBE level of DFT.

The structure in CIF format:
```
data_Ce2YLu
_chemical_formula_sum 'Ce2 Y1 Lu1'
_symmetry_space_group_name_H-M 'P 1'
_symmetry_Int_Tables_number 1
_cell_length_a 4.9027
_cell_length_b 4.9027
_cell_length_c 5.0182
_cell_angle_alpha 90.00
_cell_angle_beta 90.00
_cell_angle_gamma 90.00
loop_
_symmetry_equiv_pos_as_xyz
'x,y,z'
loop_
_atom_site_label
_atom_site_fract_x
_atom_site_fract_y
_atom_site_fract_z
Ce1 0.0000 0.5000 0.0000
Ce2 0.5000 0.0000 0.0000
Y1 0.0000 0.0000 0.5000
Lu1 0.5000 0.5000 0.5000
```

Symmetry: P4/mmm, No. 123
ΔH_f (0 K) in eV/atom: 0.110
Energy relative to the lowest polymorph listed for this composition in meV per atom: 0


Computed, not measured: a geometry-optimized TiZnCu2 structure at the PBE level of DFT.

The structure in CIF format:
```
data_TiZnCu2
_chemical_formula_sum 'Ti1 Zn1 Cu2'
_symmetry_space_group_name_H-M 'P 1'
_symmetry_Int_Tables_number 1
_cell_length_a 2.9683
_cell_length_b 2.9683
_cell_length_c 6.2704
_cell_angle_alpha 90.00
_cell_angle_beta 90.00
_cell_angle_gamma 90.00
loop_
_symmetry_equiv_pos_as_xyz
'x,y,z'
loop_
_atom_site_label
_atom_site_fract_x
_atom_site_fract_y
_atom_site_fract_z
Ti1 0.0000 0.0000 0.0000
Zn1 0.0000 0.0000 0.5000
Cu1 0.5000 0.5000 0.2627
Cu2 0.5000 0.5000 0.7373
```

Symmetry: P4/mmm, No. 123
ΔH_f (0 K) in eV/atom: -0.083


Computed, not measured: a geometry-optimized TbTiRu2 structure at the PBE level of DFT.

The structure in CIF format:
```
data_TbTiRu2
_chemical_formula_sum 'Tb1 Ti1 Ru2'
_symmetry_space_group_name_H-M 'P 1'
_symmetry_Int_Tables_number 1
_cell_length_a 4.6010
_cell_length_b 4.6010
_cell_length_c 3.2474
_cell_angle_alpha 90.00
_cell_angle_beta 90.00
_cell_angle_gamma 90.00
loop_
_symmetry_equiv_pos_as_xyz
'x,y,z'
loop_
_atom_site_label
_atom_site_fract_x
_atom_site_fract_y
_atom_site_fract_z
Tb1 0.0000 0.0000 0.0000
Ti1 0.5000 0.5000 0.0000
Ru1 0.0000 0.5000 0.5000
Ru2 0.5000 0.0000 0.5000
```

Symmetry: P4/mmm, No. 123
ΔH_f (0 K) in eV/atom: -0.369


no.,total DFT energy (no corrections) (eV/atom)
1,-5.19
2,-5.60
3,-4.42
4,-8.14